No. 1
InMoAs2: optimized geometry, PBE-GGA.

Cell lengths 6.039, 6.039, 7.303 Å; angles 65.58, 65.58, 90.00 degrees
Site moments in Bohr magnetons follow the coordinates.
Fractional positions:
1 Mo 0.500 0.500 0.000  0.93
2 Mo 0.250 0.750 0.500  0.94
3 As 0.579 0.125 0.250  -0.02
4 As 0.171 0.625 0.250  -0.02
5 As 0.375 0.421 0.750  -0.02
6 As 0.875 0.829 0.750  -0.02
7 In 0.000 0.000 0.000  0.02
8 In 0.750 0.250 0.500  0.02

Values from the calculation:
The value obtained for the electronic total energy is -5.45 eV per atom. For the total magnetization, the calculation gives 1.06 μB/f.u. The value obtained for the formation energy from the elements is 102 kJ/mol of formula units.


No. 2
InMoAs2: optimized geometry, PBE-GGA.

Cell lengths 3.416, 4.804, 4.536 Å; angles 90.00, 90.00, 90.00 degrees
Fractional positions:
1 Mo 0.000 0.500 0.500
2 As 0.000 0.000 0.000
3 As 0.500 0.500 0.000
4 In 0.500 0.000 0.500

Values from the calculation:
The value obtained for the electronic total energy is -5.21 eV per atom. For the total magnetization, the calculation gives 0.00 μB/f.u. The value obtained for the formation energy from the elements is 196 kJ/mol of formula units.


No. 3
InMoAs2: optimized geometry, PBE-GGA.

Cell lengths 3.039, 3.039, 9.641 Å; angles 90.00, 90.00, 110.71 degrees
Fractional positions:
1 Mo 0.500 0.500 0.750
2 As 0.000 0.000 0.945
3 As 0.000 0.000 0.555
4 In 0.500 0.500 0.250

Values from the calculation:
The value obtained for the electronic total energy is -5.56 eV per atom. For the total magnetization, the calculation gives 0.00 μB/f.u. The value obtained for the formation energy from the elements is 60 kJ/mol of formula units.


No. 4
In2Mo2As: optimized geometry, PBE-GGA.

Cell lengths 6.511, 6.511, 4.567 Å; angles 90.00, 90.00, 90.00 degrees
Fractional positions:
1 Mo 0.361 0.861 0.000
2 Mo 0.861 0.639 0.000
3 Mo 0.639 0.139 0.000
4 Mo 0.139 0.361 0.000
5 As 0.000 0.000 0.000
6 As 0.500 0.500 0.000
7 In 0.166 0.666 0.500
8 In 0.666 0.834 0.500
9 In 0.834 0.334 0.500
10 In 0.334 0.166 0.500

Values from the calculation:
The value obtained for the electronic total energy is -6.18 eV per atom. For the total magnetization, the calculation gives 0.00 μB/f.u. The value obtained for the formation energy from the elements is 84 kJ/mol of formula units.


No. 5
InMo4As: optimized geometry, PBE-GGA.

Cell lengths 5.329, 5.329, 5.329 Å; angles 60.00, 60.00, 60.00 degrees
Fractional positions:
1 In 0.000 0.000 0.000
2 Mo 0.876 0.375 0.375
3 Mo 0.375 0.375 0.876
4 Mo 0.375 0.876 0.375
5 Mo 0.375 0.375 0.375
6 As 0.750 0.750 0.750

Values from the calculation:
The value obtained for the electronic total energy is -7.96 eV per atom. For the total magnetization, the calculation gives 0.00 μB/f.u. The value obtained for the formation energy from the elements is 282 kJ/mol of formula units.


No. 6
InMoAs2: optimized geometry, PBE-GGA.

Cell lengths 2.973, 5.109, 6.041 Å; angles 54.26, 90.00, 90.00 degrees
Fractional positions:
1 Mo 0.000 0.000 0.500
2 As 0.000 0.000 0.000
3 As 0.500 0.500 0.000
4 In 0.500 0.500 0.500

Values from the calculation:
The value obtained for the electronic total energy is -5.21 eV per atom. For the total magnetization, the calculation gives 0.00 μB/f.u. The value obtained for the formation energy from the elements is 195 kJ/mol of formula units.


No. 7
InMoAs2: optimized geometry, PBE-GGA.

Cell lengths 9.537, 9.537, 9.537 Å; angles 19.36, 19.36, 19.36 degrees
Fractional positions:
1 Mo 0.750 0.750 0.750
2 As 0.019 0.019 0.019
3 As 0.481 0.481 0.481
4 In 0.250 0.250 0.250

Values from the calculation:
The value obtained for the electronic total energy is -5.76 eV per atom. For the total magnetization, the calculation gives 0.00 μB/f.u. The value obtained for the formation energy from the elements is -17 kJ/mol of formula units.


No. 8
InMoAs2: optimized geometry, PBE-GGA.

Cell lengths 4.874, 4.874, 4.874 Å; angles 125.70, 125.70, 80.39 degrees
Site moments in Bohr magnetons follow the coordinates.
Fractional positions:
1 Mo 0.750 0.250 0.500  0.77
2 As 0.000 0.000 0.000  -0.01
3 As 0.500 0.500 0.000  -0.01
4 In 0.250 0.750 0.500  -0.01

Values from the calculation:
The value obtained for the electronic total energy is -5.33 eV per atom. For the total magnetization, the calculation gives 0.89 μB/f.u. The value obtained for the formation energy from the elements is 151 kJ/mol of formula units.


No. 9
InMoAs2: optimized geometry, PBE-GGA.

Cell lengths 5.856, 5.856, 6.273 Å; angles 46.51, 46.51, 32.94 degrees
Fractional positions:
1 Mo 0.240 0.240 0.434
2 As 0.943 0.943 0.998
3 As 0.756 0.756 0.721
4 In 0.561 0.561 0.347

Values from the calculation:
The value obtained for the electronic total energy is -5.71 eV per atom. For the total magnetization, the calculation gives 0.00 μB/f.u. The value obtained for the formation energy from the elements is 4 kJ/mol of formula units.


No. 10
InMoAs2: optimized geometry, PBE-GGA.

Cell lengths 4.816, 4.816, 5.402 Å; angles 81.21, 81.21, 38.46 degrees
Fractional positions:
1 Mo 0.250 0.250 0.250
2 As 0.972 0.972 0.056
3 As 0.528 0.528 0.444
4 In 0.750 0.750 0.750

Values from the calculation:
The value obtained for the electronic total energy is -5.55 eV per atom. For the total magnetization, the calculation gives 0.00 μB/f.u. The value obtained for the formation energy from the elements is 64 kJ/mol of formula units.


No. 11
In3MoAs: optimized geometry, PBE-GGA.

Cell lengths 5.336, 5.336, 5.336 Å; angles 90.00, 90.00, 90.00 degrees
Site moments in Bohr magnetons follow the coordinates.
Fractional positions:
1 Mo 0.500 0.500 0.500  3.62
2 As 0.000 0.000 0.000  0.04
3 In 0.000 0.500 0.000  -0.01
4 In 0.000 0.000 0.500  0.00
5 In 0.500 0.000 0.000  -0.03

Values from the calculation:
The value obtained for the electronic total energy is -3.63 eV per atom. The energy above the most stable polymorph in this dataset is 250 meV per atom. For the total magnetization, the calculation gives 4.43 μB/f.u. The value obtained for the formation energy from the elements is 534 kJ/mol of formula units.


No. 12
InMoAs: optimized geometry, PBE-GGA.

Cell lengths 4.300, 4.300, 3.650 Å; angles 90.00, 90.00, 120.00 degrees
Fractional positions:
1 Mo 0.667 0.333 0.834
2 As 0.000 0.000 0.833
3 In 0.333 0.667 0.333

Values from the calculation:
The value obtained for the electronic total energy is -5.84 eV per atom. The energy above the most stable polymorph in this dataset is 226 meV per atom. For the total magnetization, the calculation gives 0.00 μB/f.u. The value obtained for the formation energy from the elements is 66 kJ/mol of formula units.


No. 13
InMoAs2: optimized geometry, PBE-GGA.

Cell lengths 4.735, 4.735, 4.735 Å; angles 60.00, 60.00, 60.00 degrees
Fractional positions:
1 Mo 0.250 0.250 0.250
2 As 0.000 0.000 0.000
3 As 0.750 0.750 0.750
4 In 0.500 0.500 0.500

Values from the calculation:
The value obtained for the electronic total energy is -5.07 eV per atom. For the total magnetization, the calculation gives 0.00 μB/f.u. The value obtained for the formation energy from the elements is 252 kJ/mol of formula units.


No. 14
InMoAs: optimized geometry, PBE-GGA.

Cell lengths 5.400, 5.400, 5.400 Å; angles 143.84, 143.84, 52.07 degrees
Fractional positions:
1 Mo 0.640 0.640 0.000
2 As 0.028 0.028 0.000
3 In 0.331 0.331 0.000

Values from the calculation:
The value obtained for the electronic total energy is -6.07 eV per atom. The energy above the most stable polymorph in this dataset is 0 meV per atom. For the total magnetization, the calculation gives 0.00 μB/f.u. The value obtained for the formation energy from the elements is 1 kJ/mol of formula units.


No. 15
InMoAs: optimized geometry, PBE-GGA.

Cell lengths 3.202, 3.202, 6.533 Å; angles 90.00, 90.00, 120.00 degrees
Fractional positions:
1 Mo 0.333 0.667 0.695
2 As 0.000 0.000 0.957
3 In 0.667 0.333 0.348

Values from the calculation:
The value obtained for the electronic total energy is -6.04 eV per atom. The energy above the most stable polymorph in this dataset is 33 meV per atom. For the total magnetization, the calculation gives 0.00 μB/f.u. The value obtained for the formation energy from the elements is 10 kJ/mol of formula units.


No. 16
InMo3As: optimized geometry, PBE-GGA.

Cell lengths 4.639, 4.639, 4.639 Å; angles 90.00, 90.00, 90.00 degrees
Fractional positions:
1 Mo 0.000 0.500 0.000
2 Mo 0.000 0.000 0.500
3 Mo 0.500 0.000 0.000
4 As 0.000 0.000 0.000
5 In 0.500 0.500 0.500

Values from the calculation:
The value obtained for the electronic total energy is -7.04 eV per atom. The energy above the most stable polymorph in this dataset is 0 meV per atom. For the total magnetization, the calculation gives 0.00 μB/f.u. The value obtained for the formation energy from the elements is 453 kJ/mol of formula units.


No. 17
InMoAs: optimized geometry, PBE-GGA.

Cell lengths 4.473, 4.473, 4.473 Å; angles 60.00, 60.00, 60.00 degrees
Fractional positions:
1 Mo 0.750 0.750 0.750
2 As 0.000 0.000 0.000
3 In 0.500 0.500 0.500

Values from the calculation:
The value obtained for the electronic total energy is -5.51 eV per atom. The energy above the most stable polymorph in this dataset is 560 meV per atom. For the total magnetization, the calculation gives 0.00 μB/f.u. The value obtained for the formation energy from the elements is 163 kJ/mol of formula units.


No. 18
InMoAs: optimized geometry, PBE-GGA.

Cell lengths 7.308, 7.154, 3.013 Å; angles 80.85, 75.13, 24.02 degrees
Fractional positions:
1 Mo 0.653 0.653 0.347
2 As 0.029 0.029 0.971
3 In 0.317 0.317 0.683

Values from the calculation:
The value obtained for the electronic total energy is -5.78 eV per atom. The energy above the most stable polymorph in this dataset is 290 meV per atom. For the total magnetization, the calculation gives 0.00 μB/f.u. The value obtained for the formation energy from the elements is 85 kJ/mol of formula units.


No. 19
InMoAs2: optimized geometry, PBE-GGA.

Cell lengths 4.612, 3.549, 5.010 Å; angles 69.36, 90.00, 90.00 degrees
Fractional positions:
1 Mo 0.500 0.934 0.755
2 As 0.000 0.810 0.007
3 As 0.500 0.224 0.178
4 In 0.000 0.532 0.560

Values from the calculation:
The value obtained for the electronic total energy is -5.60 eV per atom. For the total magnetization, the calculation gives 0.00 μB/f.u. The value obtained for the formation energy from the elements is 47 kJ/mol of formula units.


No. 20
In3MoAs: optimized geometry, PBE-GGA.

Cell lengths 5.323, 5.323, 5.323 Å; angles 90.00, 90.00, 90.00 degrees
Site moments in Bohr magnetons follow the coordinates.
Fractional positions:
1 Mo 0.000 0.000 0.000  1.55
2 As 0.500 0.500 0.500  0.59
3 In 0.000 0.500 0.000  0.01
4 In 0.000 0.000 0.500  0.00
5 In 0.500 0.000 0.000  0.01

Values from the calculation:
The value obtained for the electronic total energy is -3.88 eV per atom. The energy above the most stable polymorph in this dataset is 0 meV per atom. For the total magnetization, the calculation gives 3.06 μB/f.u. The value obtained for the formation energy from the elements is 413 kJ/mol of formula units.